Entry 1:
A plane-wave DFT calculation with PBE was carried out for crystalline Tb8Pr4Mg at its relaxed geometry.

a = 7.8165 Å, b = 7.8165 Å, c = 7.8165 Å
α = 90.35°, β = 90.35°, γ = 90.35°
Element x y z (fractional)
Tb: 0.2414 0.2414 0.7547
Tb: 0.2414 0.7547 0.2414
Tb: 0.2424 0.2424 0.2424
Tb: 0.2453 0.7586 0.7586
Tb: 0.7547 0.2414 0.2414
Tb: 0.7576 0.7576 0.7576
Tb: 0.7586 0.2453 0.7586
Tb: 0.7586 0.7586 0.2453
Pr: 0.0000 0.0000 0.0000
Pr: 0.0000 0.5000 0.5000
Pr: 0.5000 0.0000 0.5000
Pr: 0.5000 0.5000 0.0000
Mg: 0.5000 0.5000 0.5000

The formation energy comes out at 550 meV per atom. The total energy is -3.89 eV/atom. Its space group is No. 166. Its crystal system is trigonal.

=====

Entry 2:
A plane-wave DFT calculation with PBE was carried out for crystalline Tb2Pr5Mg at its relaxed geometry.

a = 8.5987 Å, b = 7.3287 Å, c = 6.8623 Å
α = 74.51°, β = 55.22°, γ = 50.27°
Element x y z (fractional)
Tb: 0.2414 0.7586 0.2414
Tb: 0.7586 0.2414 0.7586
Pr: 0.2525 0.2525 0.2475
Pr: 0.3435 0.3435 0.6565
Pr: 0.3446 0.8227 0.6554
Pr: 0.7525 0.7525 0.7475
Pr: 0.8227 0.3446 0.1773
Mg: 0.8374 0.8374 0.1626

The formation energy comes out at 1 meV per atom. The total energy is -4.34 eV/atom. Its space group is No. 42. Its crystal system is orthorhombic.

=====

Entry 3:
A plane-wave DFT calculation with PBE was carried out for crystalline TbPr8Mg2 at its relaxed geometry.

a = 9.2006 Å, b = 9.2006 Å, c = 5.8988 Å
α = 103.04°, β = 103.04°, γ = 120.91°
Element x y z (fractional)
Tb: 0.0000 0.0000 0.0000
Pr: 0.0967 0.3237 0.6378
Pr: 0.2106 0.7894 0.0000
Pr: 0.3237 0.0967 0.6378
Pr: 0.4088 0.4088 0.2056
Pr: 0.5912 0.5912 0.7944
Pr: 0.6763 0.9033 0.3622
Pr: 0.7894 0.2106 0.0000
Pr: 0.9033 0.6763 0.3622
Mg: 0.3065 0.6935 0.5000
Mg: 0.6935 0.3065 0.5000

The formation energy comes out at 104 meV per atom. The energy above the most stable polymorph in this dataset is 98.9 meV/atom. The total energy is -4.08 eV/atom. Its space group is No. 12. Its crystal system is monoclinic.

=====

Entry 4:
A plane-wave DFT calculation with PBE was carried out for crystalline Tb3Pr8Mg2 at its relaxed geometry.

a = 6.8095 Å, b = 8.7090 Å, c = 8.8207 Å
α = 64.43°, β = 67.53°, γ = 77.74°
Element x y z (fractional)
Tb: 0.0000 0.0000 0.0000
Tb: 0.0652 0.1845 0.5058
Tb: 0.9348 0.8155 0.4942
Pr: 0.2588 0.4086 0.6514
Pr: 0.3156 0.6086 0.1602
Pr: 0.3522 0.7876 0.6753
Pr: 0.4097 0.9842 0.2070
Pr: 0.5903 0.0158 0.7930
Pr: 0.6478 0.2124 0.3247
Pr: 0.6844 0.3914 0.8398
Pr: 0.7412 0.5914 0.3486
Mg: 0.1296 0.3404 0.0676
Mg: 0.8704 0.6596 0.9324

The formation energy comes out at 12 meV per atom. The total energy is -4.24 eV/atom. Its space group is No. 2. Its crystal system is triclinic.

=====

Entry 5:
A plane-wave DFT calculation with PBE was carried out for crystalline Tb8Pr6Mg at its relaxed geometry.

a = 9.5656 Å, b = 9.5656 Å, c = 6.3944 Å
α = 90.00°, β = 90.00°, γ = 120.00°
Element x y z (fractional)
Tb: 0.0389 0.7741 0.3130
Tb: 0.2259 0.2648 0.3130
Tb: 0.2648 0.0389 0.6870
Tb: 0.3333 0.6667 0.3358
Tb: 0.6667 0.3333 0.6642
Tb: 0.7352 0.9611 0.3130
Tb: 0.7741 0.7352 0.6870
Tb: 0.9611 0.2259 0.6870
Pr: 0.0889 0.6400 0.8148
Pr: 0.3600 0.4489 0.8148
Pr: 0.4489 0.0889 0.1852
Pr: 0.5511 0.9111 0.8148
Pr: 0.6400 0.5511 0.1852
Pr: 0.9111 0.3600 0.1852
Mg: 0.0000 0.0000 0.0000

The formation energy comes out at 121 meV per atom. The total energy is -4.37 eV/atom. Its space group is No. 147. Its crystal system is trigonal.

=====

Entry 6:
A plane-wave DFT calculation with PBE was carried out for crystalline TbPr14Mg at its relaxed geometry.

a = 10.4332 Å, b = 7.3326 Å, c = 7.3326 Å
α = 90.00°, β = 90.00°, γ = 90.00°
Element x y z (fractional)
Tb: 0.0000 0.0000 0.0000
Pr: 0.0000 0.0013 0.4994
Pr: 0.0000 0.4994 0.0013
Pr: 0.2463 0.2506 0.7495
Pr: 0.2463 0.7495 0.2506
Pr: 0.2457 0.7493 0.7493
Pr: 0.2469 0.2507 0.2507
Pr: 0.5000 0.0001 0.0001
Pr: 0.5000 0.4998 0.4998
Pr: 0.5000 0.5006 0.9992
Pr: 0.5000 0.9992 0.5006
Pr: 0.7531 0.2507 0.2507
Pr: 0.7537 0.2506 0.7495
Pr: 0.7537 0.7495 0.2506
Pr: 0.7543 0.7493 0.7493
Mg: 0.0000 0.5002 0.5002

The formation energy comes out at 4 meV per atom. The total energy is -4.57 eV/atom. Its space group is No. 38. Its crystal system is orthorhombic.

=====

Entry 7:
A plane-wave DFT calculation with PBE was carried out for crystalline Tb12Pr5Mg2 at its relaxed geometry.

a = 9.1019 Å, b = 9.1019 Å, c = 8.5389 Å
α = 91.84°, β = 91.84°, γ = 61.41°
Element x y z (fractional)
Tb: 0.0565 0.0565 0.3354
Tb: 0.0642 0.6810 0.3223
Tb: 0.1747 0.5377 0.7621
Tb: 0.3190 0.9358 0.6777
Tb: 0.4255 0.4255 0.1217
Tb: 0.4623 0.8253 0.2379
Tb: 0.5377 0.1747 0.7621
Tb: 0.5745 0.5745 0.8783
Tb: 0.6810 0.0642 0.3223
Tb: 0.8253 0.4623 0.2379
Tb: 0.9358 0.3190 0.6777
Tb: 0.9435 0.9435 0.6646
Pr: 0.2071 0.2071 0.0222
Pr: 0.2669 0.2669 0.4281
Pr: 0.5000 0.5000 0.5000
Pr: 0.7331 0.7331 0.5719
Pr: 0.7929 0.7929 0.9778
Mg: 0.1661 0.8339 0.0000
Mg: 0.8339 0.1661 0.0000

The formation energy comes out at 89 meV per atom. The total energy is -4.26 eV/atom. Its space group is No. 12. Its crystal system is monoclinic.

=====

Entry 8:
A plane-wave DFT calculation with PBE was carried out for crystalline TbPrMgTc at its relaxed geometry.

a = 5.1401 Å, b = 5.1401 Å, c = 5.1401 Å
α = 60.00°, β = 60.00°, γ = 60.00°
Element x y z (fractional)
Tb: 0.0000 0.0000 0.0000
Pr: 0.5000 0.5000 0.5000
Mg: 0.7500 0.7500 0.7500
Tc: 0.2500 0.2500 0.2500

The formation energy comes out at 72 meV per atom. The total energy is -5.27 eV/atom. Its space group is No. 216. Its crystal system is cubic.

=====

Entry 9:
A plane-wave DFT calculation with PBE was carried out for crystalline Tb3Pr3MgTe8 at its relaxed geometry.

a = 8.9200 Å, b = 8.9200 Å, c = 8.9200 Å
α = 59.32°, β = 59.32°, γ = 59.32°
Element x y z (fractional)
Tb: 0.0000 0.5000 0.5000
Tb: 0.5000 0.0000 0.5000
Tb: 0.5000 0.5000 0.0000
Pr: 0.0000 0.0000 0.5000
Pr: 0.0000 0.5000 0.0000
Pr: 0.5000 0.0000 0.0000
Mg: 0.0000 0.0000 0.0000
Te: 0.2432 0.2432 0.7488
Te: 0.2432 0.7488 0.2432
Te: 0.2512 0.7568 0.7568
Te: 0.2540 0.2540 0.2540
Te: 0.7460 0.7460 0.7460
Te: 0.7488 0.2432 0.2432
Te: 0.7568 0.2512 0.7568
Te: 0.7568 0.7568 0.2512

The total energy is -5.00 eV/atom. Its space group is No. 166. Its crystal system is trigonal.

=====

Entry 10:
A plane-wave DFT calculation with PBE was carried out for crystalline TbPrThMg at its relaxed geometry.

a = 5.5998 Å, b = 5.5998 Å, c = 5.5998 Å
α = 60.00°, β = 60.00°, γ = 60.00°
Element x y z (fractional)
Tb: 0.0000 0.0000 0.0000
Pr: 0.5000 0.5000 0.5000
Th: 0.7500 0.7500 0.7500
Mg: 0.2500 0.2500 0.2500

The formation energy comes out at 152 meV per atom. The energy above the most stable polymorph in this dataset is 197.4 meV/atom. The total energy is -4.45 eV/atom. Its space group is No. 216. Its crystal system is cubic.

=====

Entry 11:
A plane-wave DFT calculation with PBE was carried out for crystalline TbPrThMg at its relaxed geometry.

a = 3.6314 Å, b = 3.6314 Å, c = 9.3570 Å
α = 90.00°, β = 90.00°, γ = 90.00°
Element x y z (fractional)
Tb: 0.0000 0.0000 0.0000
Pr: 0.0000 0.0000 0.5178
Th: 0.5000 0.5000 0.2538
Mg: 0.5000 0.5000 0.7680

The formation energy comes out at -45 meV per atom. The energy above the most stable polymorph in this dataset is 0.0 meV/atom. The total energy is -4.65 eV/atom. Its space group is No. 99. Its crystal system is tetragonal.

=====

Entry 12:
A plane-wave DFT calculation with PBE was carried out for crystalline Tb2PrMgTl4 at its relaxed geometry.

a = 9.6040 Å, b = 9.6040 Å, c = 9.6040 Å
α = 32.06°, β = 32.06°, γ = 32.06°
Element x y z (fractional)
Tb: 0.2430 0.2430 0.2430
Tb: 0.7570 0.7570 0.7570
Pr: 0.0000 0.0000 0.0000
Mg: 0.5000 0.5000 0.5000
Tl: 0.1255 0.1255 0.1255
Tl: 0.3781 0.3781 0.3781
Tl: 0.6219 0.6219 0.6219
Tl: 0.8745 0.8745 0.8745

The formation energy comes out at -301 meV per atom. The total energy is -3.44 eV/atom. Its space group is No. 166. Its crystal system is trigonal.

=====

Entry 13:
A plane-wave DFT calculation with PBE was carried out for crystalline TbPrMgTl at its relaxed geometry.

a = 5.4537 Å, b = 5.4537 Å, c = 5.4537 Å
α = 60.00°, β = 60.00°, γ = 60.00°
Element x y z (fractional)
Tb: 0.0000 0.0000 0.0000
Pr: 0.5000 0.5000 0.5000
Mg: 0.7500 0.7500 0.7500
Tl: 0.2500 0.2500 0.2500

The formation energy comes out at -250 meV per atom. The total energy is -3.59 eV/atom. Its space group is No. 216. Its crystal system is cubic.

=====

Entry 14:
A plane-wave DFT calculation with PBE was carried out for crystalline Tb2Pr6Tm3Mg at its relaxed geometry.

a = 6.2519 Å, b = 6.2519 Å, c = 11.8052 Å
α = 95.08°, β = 95.08°, γ = 120.04°
Element x y z (fractional)
Tb: 0.1667 0.8333 0.0000
Tb: 0.8333 0.1667 0.0000
Pr: 0.0847 0.4170 0.7492
Pr: 0.2510 0.2510 0.2517
Pr: 0.4170 0.0847 0.7492
Pr: 0.5830 0.9153 0.2508
Pr: 0.7490 0.7490 0.7483
Pr: 0.9153 0.5830 0.2508
Tm: 0.0000 0.0000 0.5000
Tm: 0.3335 0.6665 0.5000
Tm: 0.6665 0.3335 0.5000
Mg: 0.5000 0.5000 0.0000

The formation energy comes out at 21 meV per atom. The total energy is -4.39 eV/atom. Its space group is No. 12. Its crystal system is monoclinic.

=====

Entry 15:
A plane-wave DFT calculation with PBE was carried out for crystalline TbPrTmMg at its relaxed geometry.

a = 5.5545 Å, b = 5.5545 Å, c = 5.5545 Å
α = 60.00°, β = 60.00°, γ = 60.00°
Element x y z (fractional)
Tb: 0.0000 0.0000 0.0000
Pr: 0.5000 0.5000 0.5000
Tm: 0.2500 0.2500 0.2500
Mg: 0.7500 0.7500 0.7500

The formation energy comes out at 21 meV per atom. The energy above the most stable polymorph in this dataset is 45.0 meV/atom. The total energy is -3.85 eV/atom. Its space group is No. 216. Its crystal system is cubic.

=====

Entry 16:
A plane-wave DFT calculation with PBE was carried out for crystalline Tb6Pr3Tm2Mg at its relaxed geometry.

a = 6.2058 Å, b = 6.2058 Å, c = 11.7363 Å
α = 95.09°, β = 95.09°, γ = 120.04°
Element x y z (fractional)
Tb: 0.0797 0.4123 0.2423
Tb: 0.2529 0.2529 0.7570
Tb: 0.4123 0.0797 0.2423
Tb: 0.5877 0.9203 0.7577
Tb: 0.7471 0.7471 0.2430
Tb: 0.9203 0.5877 0.7577
Pr: 0.1658 0.8342 0.5000
Pr: 0.5000 0.5000 0.5000
Pr: 0.8342 0.1658 0.5000
Tm: 0.3338 0.6662 0.0000
Tm: 0.6662 0.3338 0.0000
Mg: 0.0000 0.0000 0.0000

The formation energy comes out at 37 meV per atom. The total energy is -4.35 eV/atom. Its space group is No. 12. Its crystal system is monoclinic.

=====

Entry 17:
A plane-wave DFT calculation with PBE was carried out for crystalline TbPr2Tm2Mg5 at its relaxed geometry.

a = 10.6317 Å, b = 10.6317 Å, c = 5.0768 Å
α = 90.00°, β = 90.00°, γ = 90.00°
Element x y z (fractional)
Tb: 0.0000 0.0000 0.0000
Tb: 0.5000 0.5000 0.0000
Pr: 0.1768 0.3232 0.0000
Pr: 0.3232 0.8232 0.0000
Pr: 0.6768 0.1768 0.0000
Pr: 0.8232 0.6768 0.0000
Tm: 0.1193 0.6193 0.0000
Tm: 0.3807 0.1193 0.0000
Tm: 0.6193 0.8807 0.0000
Tm: 0.8807 0.3807 0.0000
Mg: 0.0000 0.5000 0.5000
Mg: 0.0704 0.8010 0.5000
Mg: 0.1990 0.0704 0.5000
Mg: 0.3010 0.5704 0.5000
Mg: 0.4296 0.3010 0.5000
Mg: 0.5000 0.0000 0.5000
Mg: 0.5704 0.6990 0.5000
Mg: 0.6990 0.4296 0.5000
Mg: 0.8010 0.9296 0.5000
Mg: 0.9296 0.1990 0.5000

The formation energy comes out at 25 meV per atom. The total energy is -3.09 eV/atom. Its space group is No. 127. Its crystal system is tetragonal.

=====

Entry 18:
A plane-wave DFT calculation with PBE was carried out for crystalline Tb2PrTmMg at its relaxed geometry.

a = 6.1962 Å, b = 5.6171 Å, c = 9.3812 Å
α = 90.00°, β = 108.85°, γ = 90.00°
Element x y z (fractional)
Tb: 0.0495 0.2500 0.3016
Tb: 0.1229 0.7500 0.1061
Tb: 0.8771 0.2500 0.8939
Tb: 0.9505 0.7500 0.6984
Pr: 0.4624 0.2500 0.1140
Pr: 0.5376 0.7500 0.8860
Tm: 0.3421 0.7500 0.4999
Tm: 0.6579 0.2500 0.5001
Mg: 0.2668 0.2500 0.6907
Mg: 0.7332 0.7500 0.3093

The formation energy comes out at 17 meV per atom. The total energy is -4.00 eV/atom. Its space group is No. 11. Its crystal system is monoclinic.

=====

Entry 19:
A plane-wave DFT calculation with PBE was carried out for crystalline TbPrTmMg at its relaxed geometry.

a = 3.6641 Å, b = 3.6641 Å, c = 9.0578 Å
α = 90.00°, β = 90.00°, γ = 90.00°
Element x y z (fractional)
Tb: 0.0000 0.0000 0.0000
Pr: 0.5000 0.5000 0.2790
Tm: 0.0000 0.0000 0.5525
Mg: 0.5000 0.5000 0.7718

The formation energy comes out at -24 meV per atom. The energy above the most stable polymorph in this dataset is 0.0 meV/atom. The total energy is -3.89 eV/atom. Its space group is No. 99. Its crystal system is tetragonal.

=====

Entry 20:
A plane-wave DFT calculation with PBE was carried out for crystalline Tb6Pr2Tm3Mg at its relaxed geometry.

a = 6.1341 Å, b = 6.1341 Å, c = 11.7463 Å
α = 95.02°, β = 95.02°, γ = 120.05°
Element x y z (fractional)
Tb: 0.0842 0.4154 0.7541
Tb: 0.2472 0.2472 0.2451
Tb: 0.4154 0.0842 0.7541
Tb: 0.5846 0.9158 0.2459
Tb: 0.7528 0.7528 0.7549
Tb: 0.9158 0.5846 0.2459
Pr: 0.3335 0.6665 0.5000
Pr: 0.6665 0.3335 0.5000
Tm: 0.1656 0.8344 0.0000
Tm: 0.5000 0.5000 0.0000
Tm: 0.8344 0.1656 0.0000
Mg: 0.0000 0.0000 0.5000

The formation energy comes out at 18 meV per atom. The total energy is -4.34 eV/atom. Its space group is No. 12. Its crystal system is monoclinic.